First-principles (PBE-GGA) data for NaFePCl2 after structural relaxation, as listed in the Alexandria database.

Geometry as CIF:
```
data_NaFePCl2
_cell_length_a 4.912
_cell_length_b 4.912
_cell_length_c 5.373
_cell_angle_alpha 90.00
_cell_angle_beta 90.00
_cell_angle_gamma 90.00
_space_group_name_H-M_alt 'P 4/m m m'
_space_group_IT_number 123
_space_group_name_Hall '-P 4 2'
loop_
_atom_site_label
_atom_site_type_symbol
_atom_site_fract_x
_atom_site_fract_y
_atom_site_fract_z
Na1 Na 0.000 0.000 0.000
Fe1 Fe 0.500 0.500 0.500
P1 P 0.000 0.000 0.500
Cl1 Cl 0.000 0.500 0.000
```

ΔE_f (raw) = 609 meV/atom
V = 25.93 Å³/atom
E_tot = -3.168 eV per atom
Calculated density = 2.31 g/cm³
Size of the total moment = 6.1 μB per formula unit
Energy above the most stable polymorph in this dataset = 1018 meV/atom

First-principles (PBE-GGA) data for Na2FePbCl6 after structural relaxation, as listed in the Alexandria database.

Geometry as CIF:
```
data_Na2FePbCl6
_cell_length_a 6.9538
_cell_length_b 6.9538
_cell_length_c 18.6019
_cell_angle_alpha 90.00
_cell_angle_beta 90.00
_cell_angle_gamma 120.00
_space_group_name_H-M_alt 'R 3'
_space_group_IT_number 146
_space_group_name_Hall 'R 3'
loop_
_atom_site_label
_atom_site_type_symbol
_atom_site_fract_x
_atom_site_fract_y
_atom_site_fract_z
Na1 Na 0.0000 0.0000 0.0000
Na2 Na 0.0000 0.0000 0.4919
Fe1 Fe 0.0000 0.0000 0.6946
Pb1 Pb 0.0000 0.0000 0.1999
Cl1 Cl 0.0173 0.3775 0.4297
Cl2 Cl 0.0523 0.6724 0.2746
```

ΔE_f (raw) = -1241 meV/atom
V = 25.97 Å³/atom
E_tot = -3.830 eV per atom
Calculated density = 3.34 g/cm³
Size of the total moment = 4.0 μB per formula unit